1.
First-principles (PBE) data for crystalline LiCaFe2 at its relaxed geometry, as listed in Alexandria via LeMat-Bulk.

Structure (POSCAR):
```
LiCaFe2
1.0
-2.430 4.461 -8.029
-4.610 2.694 -7.859
-4.674 5.143 -6.479
Ca Fe Li
1 2 1
Cartesian
-8.785 9.223 -16.776
-5.905 6.199 -11.275
-11.666 12.247 -22.276
-2.928 3.074 -5.592
```

Calculated values
**E_form**: 3.0 eV/f.u.
**E_tot**: -4.467 eV per atom
**SG**: R-3m



2.
First-principles (PBE) data for crystalline LiCaFe2 at its relaxed geometry, as listed in Alexandria via LeMat-Bulk.

Structure (POSCAR):
```
LiCaFe2
1.0
-4.162 0.978 -3.142
-2.775 -4.088 -1.932
1.857 1.629 4.695
Ca Li Fe
1 1 2
Cartesian
-2.887 0.526 -0.492
-2.194 -2.007 0.113
-3.469 -1.555 -2.537
0.000 0.000 0.000
```

Calculated values
**E_form**: 2.2 eV/f.u.
**E_tot**: -4.655 eV per atom
**SG**: I4/mmm



3.
First-principles (PBE) data for crystalline LiCaFe2 at its relaxed geometry, as listed in Alexandria via LeMat-Bulk.

Structure (POSCAR):
```
LiCaFe2
1.0
-1.660 -2.889 -2.205
0.466 -3.828 1.046
-4.748 -1.974 2.535
Ca Fe Li
1 2 1
Cartesian
-1.363 -2.178 0.262
-4.786 -6.498 1.253
-4.044 -2.018 2.062
-3.466 -4.316 1.020
```

Calculated values
**E_form**: 1.3 eV/f.u.
**E_tot**: -4.877 eV per atom
**SG**: R3m



4.
First-principles (PBE) data for crystalline LiCaFe2 at its relaxed geometry, as listed in Alexandria via LeMat-Bulk.

Structure (POSCAR):
```
LiCaFe2
1.0
3.289 0.000 0.000
0.000 3.289 0.000
0.000 0.000 6.541
Fe Li Ca
2 1 1
Cartesian
0.000 0.000 2.762
0.000 0.000 0.508
1.645 1.645 1.635
1.645 1.645 4.906
```

Calculated values
**E_form**: 2.2 eV/f.u.
**E_tot**: -4.655 eV per atom
**SG**: P4/mmm